[1]
# AcSnAuBr PBE optimized geometry
# formation energy without anion corrections = -1045 meV/atom
# E = -103.456 eV for the cell shown
# DOS at the Fermi energy = 2.5 states/eV/f.u.
# spin magnetization = 0.000 μB per atom
data_AcSnAuBr
_chemical_formula_sum 'Ac6 Sn6 Au6 Br6'
_space_group_name_H-M_alt 'R -3 m'
_space_group_IT_number 166
_space_group_name_Hall '-R 3 2"'
_cell_length_a 4.7210
_cell_length_b 4.7210
_cell_length_c 41.3538
_cell_angle_alpha 90.00
_cell_angle_beta 90.00
_cell_angle_gamma 120.00
loop_
_atom_site_label
_atom_site_type_symbol
_atom_site_fract_x
_atom_site_fract_y
_atom_site_fract_z
Ac1 Ac 0.0000 0.0000 0.0853
Sn1 Sn 0.0000 0.0000 0.3057
Au1 Au 0.0000 0.0000 0.3762
Br1 Br 0.0000 0.0000 0.2051

[2]
# AcTlAuBr PBE optimized geometry
# formation energy without anion corrections = -768 meV/atom
# E = -57.988 eV for the cell shown
# DOS at the Fermi energy = 5.1 states/eV/f.u.
# spin magnetization = 0.000 μB per atom
data_AcTlAuBr
_chemical_formula_sum 'Ac4 Tl4 Au4 Br4'
_space_group_name_H-M_alt 'F -4 3 m'
_space_group_IT_number 216
_space_group_name_Hall 'F -4 2 3'
_cell_length_a 7.657
_cell_length_b 7.657
_cell_length_c 7.657
_cell_angle_alpha 90.00
_cell_angle_beta 90.00
_cell_angle_gamma 90.00
loop_
_atom_site_label
_atom_site_type_symbol
_atom_site_fract_x
_atom_site_fract_y
_atom_site_fract_z
Ac1 Ac 0.000 0.000 0.000
Tl1 Tl 0.000 0.000 0.500
Au1 Au 0.250 0.250 0.750
Br1 Br 0.250 0.250 0.250

[3]
# Ac4Au2C PBE optimized geometry
# E = -68.858 eV for the cell shown
# DOS at the Fermi energy = 8.5 states/eV/f.u.
# energy of formation from the pure elements = -0.317 eV per atom
# spin magnetization = 0.000 μB per atom
data_Ac4Au2C
_chemical_formula_sum 'Ac8 Au4 C2'
_space_group_name_H-M_alt 'I 4/m m m'
_space_group_IT_number 139
_space_group_name_Hall '-I 4 2'
_cell_length_a 5.393
_cell_length_b 5.393
_cell_length_c 15.556
_cell_angle_alpha 90.00
_cell_angle_beta 90.00
_cell_angle_gamma 90.00
loop_
_atom_site_label
_atom_site_type_symbol
_atom_site_fract_x
_atom_site_fract_y
_atom_site_fract_z
Ac1 Ac 0.000 0.000 0.178
Ac2 Ac 0.000 0.500 0.000
Au1 Au 0.000 0.000 0.376
C1 C 0.000 0.000 0.000

[4]
# Ac2AuC2 PBE optimized geometry
# E = -125.991 eV for the cell shown
# DOS at the Fermi energy = 2.9 states/eV/f.u.
# energy of formation from the pure elements = -0.311 eV per atom
# spin magnetization = 0.000 μB per atom
data_Ac2AuC2
_chemical_formula_sum 'Ac8 Au4 C8'
_space_group_name_H-M_alt 'C 1 2/c 1'
_space_group_IT_number 15
_space_group_name_Hall '-C 2yc'
_cell_length_a 15.084
_cell_length_b 4.470
_cell_length_c 7.439
_cell_angle_alpha 90.00
_cell_angle_beta 102.04
_cell_angle_gamma 90.00
loop_
_atom_site_label
_atom_site_type_symbol
_atom_site_fract_x
_atom_site_fract_y
_atom_site_fract_z
Ac1 Ac 0.141 0.184 0.136
Au1 Au 0.000 0.327 0.750
C1 C 0.230 0.366 0.530

[5]
# Ac6Au3C PBE optimized geometry
# E = -96.196 eV for the cell shown
# DOS at the Fermi energy = 9.3 states/eV/f.u.
# energy of formation from the pure elements = -0.439 eV per atom
# spin magnetization = 0.000 μB per atom
data_Ac6Au3C
_chemical_formula_sum 'Ac12 Au6 C2'
_space_group_name_H-M_alt 'P 1 21/c 1'
_space_group_IT_number 14
_space_group_name_Hall '-P 2ybc'
_cell_length_a 7.234
_cell_length_b 8.181
_cell_length_c 13.224
_cell_angle_alpha 90.00
_cell_angle_beta 121.61
_cell_angle_gamma 90.00
loop_
_atom_site_label
_atom_site_type_symbol
_atom_site_fract_x
_atom_site_fract_y
_atom_site_fract_z
Ac1 Ac 0.087 0.208 0.436
Ac2 Ac 0.241 0.663 0.429
Ac3 Ac 0.372 0.042 0.229
Au1 Au 0.176 0.106 0.734
Au2 Au 0.500 0.000 0.500
C1 C 0.000 0.000 0.000

[6]
# Ac6Au2C PBE optimized geometry
# E = -87.085 eV for the cell shown
# DOS at the Fermi energy = 9.1 states/eV/f.u.
# energy of formation from the pure elements = -0.346 eV per atom
# spin magnetization = 0.000 μB per atom
data_Ac6Au2C
_chemical_formula_sum 'Ac12 Au4 C2'
_space_group_name_H-M_alt 'P 1 21/c 1'
_space_group_IT_number 14
_space_group_name_Hall '-P 2ybc'
_cell_length_a 7.163
_cell_length_b 7.897
_cell_length_c 12.996
_cell_angle_alpha 90.00
_cell_angle_beta 122.63
_cell_angle_gamma 90.00
loop_
_atom_site_label
_atom_site_type_symbol
_atom_site_fract_x
_atom_site_fract_y
_atom_site_fract_z
Ac1 Ac 0.107 0.029 0.237
Ac2 Ac 0.224 0.697 0.057
Ac3 Ac 0.371 0.177 0.060
Au1 Au 0.310 0.103 0.750
C1 C 0.000 0.000 0.000

[7]
# Ac4AuCI2 PBE optimized geometry
# formation energy without anion corrections = -675 meV/atom
# E = -37.432 eV for the cell shown
# DOS at the Fermi energy = 7.2 states/eV/f.u.
# spin magnetization = 0.000 μB per atom
data_Ac4AuCI2
_chemical_formula_sum 'Ac4 Au1 C1 I2'
_space_group_name_H-M_alt 'P 1 2/m 1'
_space_group_IT_number 10
_space_group_name_Hall '-P 2y'
_cell_length_a 7.820
_cell_length_b 4.253
_cell_length_c 8.714
_cell_angle_alpha 90.00
_cell_angle_beta 106.81
_cell_angle_gamma 90.00
loop_
_atom_site_label
_atom_site_type_symbol
_atom_site_fract_x
_atom_site_fract_y
_atom_site_fract_z
Ac1 Ac 0.197 0.000 0.183
Ac2 Ac 0.238 0.500 0.812
Au1 Au 0.500 0.000 0.000
C1 C 0.000 0.500 0.000
I1 I 0.000 0.000 0.500
I2 I 0.500 0.500 0.500

[8]
# AcAuC2O8 PBE optimized geometry
# formation energy without anion corrections = -1189 meV/atom
# E = -239.299 eV for the cell shown
# DOS at the Fermi energy = 5.8 states/eV/f.u.
# spin magnetization = 0.000 μB per atom
data_AcAuC2O8
_chemical_formula_sum 'Ac3 Au3 C6 O24'
_space_group_name_H-M_alt 'R -3 m'
_space_group_IT_number 166
_space_group_name_Hall '-R 3 2"'
_cell_length_a 5.0402
_cell_length_b 5.0402
_cell_length_c 17.0794
_cell_angle_alpha 90.00
_cell_angle_beta 90.00
_cell_angle_gamma 120.00
loop_
_atom_site_label
_atom_site_type_symbol
_atom_site_fract_x
_atom_site_fract_y
_atom_site_fract_z
Ac1 Ac 0.0000 0.0000 0.0000
Au1 Au 0.0000 0.0000 0.5000
C1 C 0.0000 0.0000 0.2185
O1 O 0.0000 0.0000 0.1436
O2 O 0.0283 0.5142 0.9192

[9]
# Ac2RuAuC PBE optimized geometry
# E = -31.799 eV for the cell shown
# DOS at the Fermi energy = 3.5 states/eV/f.u.
# energy of formation from the pure elements = -0.361 eV per atom
# spin magnetization = 0.000 μB per atom
data_Ac2RuAuC
_chemical_formula_sum 'Ac2 Ru1 Au1 C1'
_space_group_name_H-M_alt 'P 4/m m m'
_space_group_IT_number 123
_space_group_name_Hall '-P 4 2'
_cell_length_a 5.563
_cell_length_b 5.563
_cell_length_c 3.944
_cell_angle_alpha 90.00
_cell_angle_beta 90.00
_cell_angle_gamma 90.00
loop_
_atom_site_label
_atom_site_type_symbol
_atom_site_fract_x
_atom_site_fract_y
_atom_site_fract_z
Ac1 Ac 0.000 0.500 0.000
Ru1 Ru 0.000 0.000 0.500
Au1 Au 0.500 0.500 0.500
C1 C 0.000 0.000 0.000

[10]
# CaAcAu2 PBE optimized geometry
# E = -15.777 eV for the cell shown
# DOS at the Fermi energy = 2.6 states/eV/f.u.
# energy of formation from the pure elements = -0.778 eV per atom
# spin magnetization = 0.000 μB per atom
# energy above the lowest structure with this stoichiometry = 38.1 meV per atom
data_CaAcAu2
_chemical_formula_sum 'Ca1 Ac1 Au2'
_space_group_name_H-M_alt 'P 4/m m m'
_space_group_IT_number 123
_space_group_name_Hall '-P 4 2'
_cell_length_a 5.362
_cell_length_b 5.362
_cell_length_c 3.792
_cell_angle_alpha 90.00
_cell_angle_beta 90.00
_cell_angle_gamma 90.00
loop_
_atom_site_label
_atom_site_type_symbol
_atom_site_fract_x
_atom_site_fract_y
_atom_site_fract_z
Ca1 Ca 0.000 0.000 0.000
Ac1 Ac 0.500 0.500 0.000
Au1 Au 0.000 0.500 0.500

[11]
# CaAc2Au4 PBE optimized geometry
# E = -52.941 eV for the cell shown
# DOS at the Fermi energy = 4.4 states/eV/f.u.
# energy of formation from the pure elements = -0.449 eV per atom
# spin magnetization = 0.000 μB per atom
# energy above the lowest structure with this stoichiometry = 244.6 meV per atom
data_CaAc2Au4
_chemical_formula_sum 'Ca2 Ac4 Au8'
_space_group_name_H-M_alt 'I 4/m m m'
_space_group_IT_number 139
_space_group_name_Hall '-I 4 2'
_cell_length_a 5.306
_cell_length_b 5.306
_cell_length_c 16.006
_cell_angle_alpha 90.00
_cell_angle_beta 90.00
_cell_angle_gamma 90.00
loop_
_atom_site_label
_atom_site_type_symbol
_atom_site_fract_x
_atom_site_fract_y
_atom_site_fract_z
Ca1 Ca 0.000 0.000 0.000
Ac1 Ac 0.000 0.000 0.370
Au1 Au 0.000 0.000 0.179
Au2 Au 0.000 0.500 0.000

[12]
# CaAc3Au4 PBE optimized geometry
# E = -67.232 eV for the cell shown
# DOS at the Fermi energy = 7.7 states/eV/f.u.
# energy of formation from the pure elements = -0.772 eV per atom
# spin magnetization = 0.000 μB per atom
data_CaAc3Au4
_chemical_formula_sum 'Ca2 Ac6 Au8'
_space_group_name_H-M_alt 'I m -3 m'
_space_group_IT_number 229
_space_group_name_Hall '-I 4 2 3'
_cell_length_a 7.715
_cell_length_b 7.715
_cell_length_c 7.715
_cell_angle_alpha 90.00
_cell_angle_beta 90.00
_cell_angle_gamma 90.00
loop_
_atom_site_label
_atom_site_type_symbol
_atom_site_fract_x
_atom_site_fract_y
_atom_site_fract_z
Ca1 Ca 0.000 0.000 0.000
Ac1 Ac 0.000 0.000 0.500
Au1 Au 0.250 0.250 0.250